A geometry-optimized BeCoRh2 structure, computed with GGA-PBE.

Computed properties:
calculated volume	46.83	Å³/f.u.
energy relative to the elements	-0.1739	eV per atom
total DFT energy (no corrections)	-6.558	eV per atom

Cell lengths 2.715, 2.715, 6.352 Å; angles 90.00, 90.00, 90.00 degrees
Each line ends with the local moment (μB).
Element x y z (fractional)
Co: 0.500 0.500 0.714  1.39
Rh: 0.000 0.000 0.983  0.42
Rh: 0.500 0.500 0.292  0.04
Be: 0.000 0.000 0.511  -0.03

=====

A geometry-optimized Be2CoRh structure, computed with GGA-PBE.

Computed properties:
calculated volume	40.48	Å³/f.u.
energy relative to the elements	-0.2992	eV per atom
total DFT energy (no corrections)	-5.777	eV per atom

Cell lengths 4.400, 4.400, 3.872 Å; angles 71.18, 71.18, 35.02 degrees
Element x y z (fractional)
Co: 0.495 0.495 0.566
Rh: 0.253 0.253 0.191
Be: 0.005 0.005 0.046
Be: 0.748 0.748 0.696

=====

A geometry-optimized BeCoRh2 structure, computed with GGA-PBE.

Computed properties:
calculated volume	49.59	Å³/f.u.
energy relative to the elements	-0.0174	eV per atom
total DFT energy (no corrections)	-6.401	eV per atom

Cell lengths 2.639, 2.639, 7.897 Å; angles 90.00, 90.00, 115.62 degrees
Each line ends with the local moment (μB).
Element x y z (fractional)
Co: 0.500 0.500 0.750  2.03
Rh: 0.000 0.000 0.023  0.45
Rh: 0.000 0.000 0.477  0.45
Be: 0.500 0.500 0.250  -0.01

=====

A geometry-optimized Be2CoRh structure, computed with GGA-PBE.

Computed properties:
calculated volume	40.23	Å³/f.u.
energy relative to the elements	-0.2672	eV per atom
total DFT energy (no corrections)	-5.745	eV per atom

Cell lengths 2.743, 2.743, 5.345 Å; angles 90.00, 90.00, 90.00 degrees
Each line ends with the local moment (μB).
Element x y z (fractional)
Co: 0.000 0.000 0.459  0.96
Rh: 0.500 0.500 0.778  0.24
Be: 0.000 0.000 0.025  -0.02
Be: 0.500 0.500 0.239  -0.03

=====

A geometry-optimized Be2CoRh structure, computed with GGA-PBE.

Computed properties:
calculated volume	39.47	Å³/f.u.
energy relative to the elements	-0.4422	eV per atom
total DFT energy (no corrections)	-5.920	eV per atom

Cell lengths 3.795, 3.795, 2.740 Å; angles 90.00, 90.00, 90.00 degrees
Each line ends with the local moment (μB).
Element x y z (fractional)
Co: 0.500 0.000 0.500  0.62
Rh: 0.000 0.500 0.500  0.08
Be: 0.000 0.000 0.000  -0.02
Be: 0.500 0.500 0.000  -0.02

=====

A geometry-optimized Be2CoRh structure, computed with GGA-PBE.

Computed properties:
calculated volume	39.96	Å³/f.u.
energy relative to the elements	-0.3620	eV per atom
total DFT energy (no corrections)	-5.839	eV per atom

Cell lengths 3.571, 2.730, 4.331 Å; angles 71.20, 90.00, 90.00 degrees
Each line ends with the local moment (μB).
Element x y z (fractional)
Co: 0.000 0.479 0.410  0.89
Rh: 0.500 0.774 0.834  0.15
Be: 0.000 0.206 0.968  -0.02
Be: 0.500 0.041 0.288  -0.03

=====

A geometry-optimized BeCoRh3 structure, computed with GGA-PBE.

Computed properties:
offset from the most stable computed form	0.000	eV/atom
calculated volume	67.86	Å³/f.u.
energy relative to the elements	0.3727	eV per atom
total DFT energy (no corrections)	-6.205	eV per atom

Cell lengths 4.079, 4.079, 4.079 Å; angles 90.00, 90.00, 90.00 degrees
Each line ends with the local moment (μB).
Element x y z (fractional)
Co: 0.500 0.500 0.500  2.17
Rh: 0.000 0.500 0.000  0.49
Rh: 0.000 0.000 0.500  0.47
Rh: 0.500 0.000 0.000  0.58
Be: 0.000 0.000 0.000  -0.03

=====

A geometry-optimized Be2CoRh structure, computed with GGA-PBE.

Computed properties:
calculated volume	41.43	Å³/f.u.
energy relative to the elements	-0.1851	eV per atom
total DFT energy (no corrections)	-5.663	eV per atom

Cell lengths 3.498, 2.563, 4.658 Å; angles 82.76, 90.00, 90.00 degrees
Element x y z (fractional)
Co: 0.500 0.250 0.250
Rh: 0.500 0.750 0.750
Be: 0.000 0.033 0.009
Be: 0.000 0.467 0.491

=====

A geometry-optimized BeCo2Rh structure, computed with GGA-PBE.

Computed properties:
calculated volume	43.85	Å³/f.u.
energy relative to the elements	-0.1868	eV per atom
total DFT energy (no corrections)	-6.509	eV per atom

Cell lengths 2.765, 2.765, 5.734 Å; angles 90.00, 90.00, 90.00 degrees
Each line ends with the local moment (μB).
Element x y z (fractional)
Co: 0.000 0.000 0.985  1.48
Co: 0.500 0.500 0.229  1.93
Rh: 0.000 0.000 0.526  0.46
Be: 0.500 0.500 0.761  -0.03

=====

A geometry-optimized Be2CoRh structure, computed with GGA-PBE.

Computed properties:
calculated volume	41.24	Å³/f.u.
energy relative to the elements	-0.2220	eV per atom
total DFT energy (no corrections)	-5.699	eV per atom

Cell lengths 4.249, 4.249, 4.249 Å; angles 139.54, 122.21, 72.91 degrees
Each line ends with the local moment (μB).
Element x y z (fractional)
Co: 0.750 0.250 0.500  0.77
Rh: 0.250 0.750 0.500  0.13
Be: 0.991 0.991 0.000  -0.02
Be: 0.509 0.509 0.000  -0.02

=====

A geometry-optimized BeCoRh2 structure, computed with GGA-PBE.

Computed properties:
calculated volume	47.49	Å³/f.u.
energy relative to the elements	-0.1266	eV per atom
total DFT energy (no corrections)	-6.510	eV per atom

Cell lengths 3.840, 2.677, 4.809 Å; angles 73.83, 90.00, 90.00 degrees
Each line ends with the local moment (μB).
Element x y z (fractional)
Co: 0.500 0.560 0.756  0.89
Rh: 0.000 0.957 0.961  0.22
Rh: 0.500 0.290 0.296  0.07
Be: 0.000 0.693 0.486  -0.01

=====

A geometry-optimized BeCo2Rh structure, computed with GGA-PBE.

Computed properties:
calculated volume	45.80	Å³/f.u.
energy relative to the elements	0.0475	eV per atom
total DFT energy (no corrections)	-6.275	eV per atom

Cell lengths 2.549, 2.549, 7.776 Å; angles 90.00, 90.00, 114.98 degrees
Each line ends with the local moment (μB).
Element x y z (fractional)
Co: 0.000 0.000 0.984  1.55
Co: 0.500 0.500 0.236  1.86
Rh: 0.000 0.000 0.523  0.29
Be: 0.500 0.500 0.756  -0.03

=====

Question: Number 3 is which compound?
Answer: BeCoRh2